Arrangement one

Material: BaMgCd6
Method: DFT, PBE
State: optimized geometry

Summary:
calculated volume	28.009	Å³/atom

a b c (Å): 4.912 4.912 9.287
angles (deg): 90.00 90.00 90.00
Space group P4/mmm (No. 123)
Inequivalent atoms, fractional coordinates:
Ba: 0.000 0.000 0.000 x1
Mg: 0.000 0.000 0.500 x1
Cd: 0.000 0.500 0.331 x4
Cd: 0.500 0.500 0.154 x2

Arrangement two

Material: BaMgCd6
Method: DFT, PBE
State: optimized geometry

Summary:
calculated volume	26.866	Å³/atom

a b c (Å): 4.9200 4.9200 30.7584
angles (deg): 90.00 90.00 120.00
Space group R-3m (No. 166, hexagonal axes)
Inequivalent atoms, fractional coordinates:
Ba: 0.0000 0.0000 0.0000 x3
Mg: 0.0000 0.0000 0.5000 x3
Cd: 0.0000 0.0000 0.1326 x6
Cd: 0.0000 0.0000 0.2418 x6
Cd: 0.0000 0.0000 0.4016 x6

arrangement two takes first place; second place is 1.1 kJ/mol of atoms up.